A PBEsol-optimized structure of La2PCl, computed with meta-GGA SCAN.

As for the mass density: 6.3 g/cm³. The calculation puts the density of states at the Fermi level at 0.450 states/eV/atom. For the final energy, the calculation gives -111.17 eV/cell. The calculation puts the formation energy without anion corrections at -635 kJ/mol of formula units.

It has space group P4/mmm (No. 123), with a = 3.568 Å, b = 3.568 Å, c = 7.168 Å, α = 90.00°, β = 90.00° and γ = 90.00°. The inequivalent atoms are La at (0.000, 0.000, 0.231), P at (0.500, 0.500, 0.000) and Cl at (0.500, 0.500, 0.500).

A PBEsol-optimized structure of LaP2Cl, computed with meta-GGA SCAN.

As for the mass density: 4.8 g/cm³. The calculation puts the density of states at the Fermi level at 1.269 states/eV/atom. For the final energy, the calculation gives -296.23 eV/cell. The calculation puts the formation energy without anion corrections at -210 kJ/mol of formula units. Its excess energy over the best structure of this formula in the dataset is 556.6 meV/atom.

It has space group F-43m (No. 216), with a = 6.911 Å, b = 6.911 Å, c = 6.911 Å, α = 90.00°, β = 90.00° and γ = 90.00°. The inequivalent atoms are La at (0.000, 0.000, 0.000), P at (0.000, 0.000, 0.500), P at (0.250, 0.250, 0.250) and Cl at (0.250, 0.250, 0.750).

A PBEsol-optimized structure of LaPCl, computed with meta-GGA SCAN.

As for the mass density: 4.6 g/cm³. The calculation puts the density of states at the Fermi level at 0.171 states/eV/atom. For the final energy, the calculation gives -130.27 eV/cell. The calculation puts the formation energy without anion corrections at -353 kJ/mol of formula units. Its excess energy over the best structure of this formula in the dataset is 171.5 meV/atom.

It has space group I4mm (No. 107), with a = 3.449 Å, b = 3.449 Å, c = 12.455 Å, α = 90.00°, β = 90.00° and γ = 90.00°. The inequivalent atoms are La at (0.000, 0.000, 0.000), P at (0.000, 0.000, 0.644) and Cl at (0.000, 0.000, 0.363).

A PBEsol-optimized structure of LaP2Cl, computed with meta-GGA SCAN.

As for the mass density: 4.1 g/cm³. The calculation puts the density of states at the Fermi level at 0.909 states/eV/atom. For the final energy, the calculation gives -75.95 eV/cell. The calculation puts the formation energy without anion corrections at -393 kJ/mol of formula units. Its excess energy over the best structure of this formula in the dataset is 83.3 meV/atom.

It has space group P4/mmm (No. 123), with a = 4.134 Å, b = 4.134 Å, c = 5.636 Å, α = 90.00°, β = 90.00° and γ = 90.00°. The inequivalent atoms are La at (0.000, 0.000, 0.000), P at (0.500, 0.500, 0.185) and Cl at (0.000, 0.000, 0.500).

A PBEsol-optimized structure of LaPCl2, computed with meta-GGA SCAN.

As for the mass density: 4.5 g/cm³. The calculation puts the density of states at the Fermi level at 0.805 states/eV/atom. For the final energy, the calculation gives -295.88 eV/cell. The calculation puts the formation energy without anion corrections at -435 kJ/mol of formula units.

It has space group F-43m (No. 216), with a = 7.072 Å, b = 7.072 Å, c = 7.072 Å, α = 90.00°, β = 90.00° and γ = 90.00°. The inequivalent atoms are La at (0.000, 0.000, 0.000), P at (0.250, 0.250, 0.750), Cl at (0.000, 0.000, 0.500) and Cl at (0.250, 0.250, 0.250).

A PBEsol-optimized structure of RbLaPCl2, computed with meta-GGA SCAN.

As for the mass density: 3.2 g/cm³. The calculation puts the density of states at the Fermi level at 0.859 states/eV/atom. For the final energy, the calculation gives -98.30 eV/cell. The calculation puts the formation energy without anion corrections at -781 kJ/mol of formula units. Its excess energy over the best structure of this formula in the dataset is 0.0 meV/atom.

It has space group P4/mmm (No. 123), with a = 5.589 Å, b = 5.589 Å, c = 5.374 Å, α = 90.00°, β = 90.00° and γ = 90.00°. The inequivalent atoms are Rb at (0.000, 0.000, 0.000), La at (0.500, 0.500, 0.500), P at (0.500, 0.500, 0.000) and Cl at (0.000, 0.500, 0.500).

A PBEsol-optimized structure of RbLaPCl2, computed with meta-GGA SCAN.

As for the mass density: 3.4 g/cm³. The calculation puts the density of states at the Fermi level at 0.462 states/eV/atom. For the final energy, the calculation gives -93.05 eV/cell. The calculation puts the formation energy without anion corrections at -275 kJ/mol of formula units. Its excess energy over the best structure of this formula in the dataset is 1049.0 meV/atom.

It has space group P4/mmm (No. 123), with a = 5.345 Å, b = 5.345 Å, c = 5.502 Å, α = 90.00°, β = 90.00° and γ = 90.00°. The inequivalent atoms are Rb at (0.000, 0.000, 0.000), La at (0.500, 0.500, 0.500), P at (0.000, 0.000, 0.500) and Cl at (0.000, 0.500, 0.000).

A PBEsol-optimized structure of LaPSCl2, computed with meta-GGA SCAN.

As for the mass density: 2.7 g/cm³. The calculation puts the density of states at the Fermi level at 0.497 states/eV/atom. For the final energy, the calculation gives -81.86 eV/cell. The calculation puts the formation energy without anion corrections at -267 kJ/mol of formula units.

It has space group P4/mmm (No. 123), with a = 5.281 Å, b = 5.281 Å, c = 6.099 Å, α = 90.00°, β = 90.00° and γ = 90.00°. The inequivalent atoms are La at (0.000, 0.000, 0.000), P at (0.000, 0.000, 0.500), S at (0.500, 0.500, 0.500) and Cl at (0.000, 0.500, 0.000).

A PBEsol-optimized structure of LaScP2Cl, computed with meta-GGA SCAN.

As for the mass density: 4.1 g/cm³. The calculation puts the density of states at the Fermi level at 0.437 states/eV/atom. For the final energy, the calculation gives -92.55 eV/cell. The calculation puts the formation energy without anion corrections at -620 kJ/mol of formula units.

It has space group P4/mmm (No. 123), with a = 4.909 Å, b = 4.909 Å, c = 4.771 Å, α = 90.00°, β = 90.00° and γ = 90.00°. The inequivalent atoms are La at (0.000, 0.000, 0.000), Sc at (0.500, 0.500, 0.500), P at (0.000, 0.500, 0.500) and Cl at (0.500, 0.500, 0.000).

A PBEsol-optimized structure of LaScPCl2, computed with meta-GGA SCAN.

As for the mass density: 4.1 g/cm³. The calculation puts the density of states at the Fermi level at 0.504 states/eV/atom. For the final energy, the calculation gives -91.77 eV/cell. The calculation puts the formation energy without anion corrections at -779 kJ/mol of formula units.

It has space group P4/mmm (No. 123), with a = 4.711 Å, b = 4.711 Å, c = 5.171 Å, α = 90.00°, β = 90.00° and γ = 90.00°. The inequivalent atoms are La at (0.000, 0.000, 0.000), Sc at (0.500, 0.500, 0.500), P at (0.500, 0.500, 0.000) and Cl at (0.000, 0.500, 0.500).

A PBEsol-optimized structure of LaPSeCl2, computed with meta-GGA SCAN.

As for the mass density: 4.4 g/cm³. The calculation puts the density of states at the Fermi level at 0.540 states/eV/atom. For the final energy, the calculation gives -92.20 eV/cell. The calculation puts the formation energy without anion corrections at -257 kJ/mol of formula units.

It has space group P4/mmm (No. 123), with a = 4.831 Å, b = 4.831 Å, c = 5.162 Å, α = 90.00°, β = 90.00° and γ = 90.00°. The inequivalent atoms are La at (0.000, 0.000, 0.000), P at (0.500, 0.500, 0.000), Se at (0.500, 0.500, 0.500) and Cl at (0.000, 0.500, 0.500).

A PBEsol-optimized structure of LaSnPCl2, computed with meta-GGA SCAN.

As for the mass density: 3.7 g/cm³. The calculation puts the density of states at the Fermi level at 0.435 states/eV/atom. For the final energy, the calculation gives -109.71 eV/cell. The calculation puts the formation energy without anion corrections at -418 kJ/mol of formula units.

It has space group P4/mmm (No. 123), with a = 5.312 Å, b = 5.312 Å, c = 5.746 Å, α = 90.00°, β = 90.00° and γ = 90.00°. The inequivalent atoms are La at (0.000, 0.000, 0.000), Sn at (0.500, 0.500, 0.500), P at (0.000, 0.000, 0.500) and Cl at (0.000, 0.500, 0.000).